(1)
Below is a relaxed structure of TcB4Os, with properties calculated at the GGA-PBE level.

Total energy: -0.3091 hartree per atom
Polymorph energy (0 for the lowest one): 0 meV/atom

Unit cell a=2.911 b=2.911 c=7.387 alpha=90.00 beta=90.00 gamma=120.00
Fractional coordinates of all 6 atoms:
1 B 0.000 0.000 0.699
2 B 0.667 0.333 0.201
3 B 0.667 0.333 0.799
4 B 0.000 0.000 0.301
5 Tc 0.667 0.333 0.500
6 Os 0.000 0.000 0.000

***

(2)
Below is a relaxed structure of TcB2Os, with properties calculated at the GGA-PBE level.

Total energy: -0.2795 hartree per atom

Unit cell a=4.008 b=4.008 c=4.008 alpha=60.00 beta=60.00 gamma=60.00
Fractional coordinates of all 4 atoms:
1 B 0.500 0.500 0.500
2 B 0.250 0.250 0.250
3 Os 0.750 0.750 0.750
4 Tc 0.000 0.000 0.000

***

(3)
Below is a relaxed structure of BTeOs, with properties calculated at the GGA-PBE level.

Total energy: -0.2193 hartree per atom
Polymorph energy (0 for the lowest one): 0 meV/atom

Unit cell a=4.171 b=4.171 c=4.171 alpha=60.00 beta=60.00 gamma=60.00
Fractional coordinates of all 3 atoms:
1 B 0.250 0.250 0.250
2 Te 0.750 0.750 0.750
3 Os 0.000 0.000 0.000

***

(4)
Below is a relaxed structure of B2Te2Os, with properties calculated at the GGA-PBE level.

Total energy: -0.1896 hartree per atom
Polymorph energy (0 for the lowest one): 0 meV/atom

Unit cell a=4.740 b=4.740 c=4.740 alpha=113.90 beta=113.90 gamma=100.94
Fractional coordinates of all 5 atoms:
1 B 0.366 0.366 0.000
2 B 0.634 0.634 0.000
3 Te 0.250 0.750 0.500
4 Te 0.750 0.250 0.500
5 Os 0.000 0.000 0.000